(1)
First-principles (PBE) data for crystalline Ce3NdCo at its relaxed geometry, as listed in the Alexandria database.

The value obtained for the raw total energy is -5.86 eV/atom. The formation energy comes out at 0.4 eV/f.u.

Lattice parameters (Å, degrees): 5.2524 5.2524 5.2524 90.00 90.00 90.00
With the nearest neighbours (Å) after each atom.
Positions (direct):
Co (0.0000, 0.0000, 0.0000)  6 Ce 2.63
Nd (0.5000, 0.5000, 0.5000)  12 Ce 3.71
Ce (0.0000, 0.5000, 0.0000)  2 Co 2.63
Ce (0.0000, 0.0000, 0.5000)  2 Co 2.63
Ce (0.5000, 0.0000, 0.0000)  2 Co 2.63

***

(2)
First-principles (PBE) data for crystalline Tb4ZnBi at its relaxed geometry, as listed in the Alexandria database.

The value obtained for the raw total energy is -4.15 eV/atom. The formation energy comes out at -1.2 eV/f.u.

Lattice parameters (Å, degrees): 5.6167 6.3983 10.5277 90.00 105.47 90.00
With the nearest neighbours (Å) after each atom.
Positions (direct):
Tb (0.8880, 0.3223, 0.7759)  2 Zn 2.87
Tb (0.1120, 0.8223, 0.2241)  2 Zn 2.87
Tb (0.4453, 0.8223, 0.8905)  1 Zn 2.78
Tb (0.5547, 0.3223, 0.1095)  1 Zn 2.78
Tb (0.7039, 0.5713, 0.4077)  1 Zn 2.94, 2 Tb 3.19-3.21
Tb (0.2961, 0.0713, 0.5923)  1 Zn 2.94, 2 Tb 3.19-3.21
Tb (0.7038, 0.0731, 0.4077)  1 Zn 2.94, 2 Tb 3.19-3.21
Tb (0.2962, 0.5731, 0.5923)  1 Zn 2.94, 2 Tb 3.19-3.21
Zn (0.5825, 0.8222, 0.1649)  5 Tb 2.78-2.94
Zn (0.4175, 0.3222, 0.8351)  5 Tb 2.78-2.94
Bi (0.8522, 0.8223, 0.7045)  10 Tb 3.28-3.42
Bi (0.1478, 0.3223, 0.2955)  10 Tb 3.28-3.42

***

(3)
First-principles (PBE) data for crystalline HoPaPt2O8 at its relaxed geometry, as listed in the Alexandria database.

The value obtained for the raw total energy is -7.24 eV/atom. The calculation puts the uncorrected formation energy at -21.04 eV per formula unit.

Lattice parameters (Å, degrees): 6.0782 6.0782 6.0782 109.73 109.73 108.96
With the nearest neighbours (Å) after each atom.
Positions (direct):
Ho (0.2500, 0.7500, 0.5000)  8 O 2.31-2.37
Pa (0.0000, 0.0000, 0.0000)  8 O 2.27-2.33
Pt (0.7500, 0.2500, 0.5000)  4 O 1.95
Pt (0.5000, 0.5000, 0.0000)  4 O 1.95
O (0.3592, 0.0365, 0.3227)  1 Pt 1.95
O (0.2829, 0.4544, 0.1716)  1 Pt 1.95
O (0.2829, 0.1113, 0.8284)  1 Pt 1.95
O (0.7138, 0.0365, 0.6773)  1 Pt 1.95
O (0.8887, 0.7171, 0.1716)  1 Pt 1.95
O (0.9635, 0.2862, 0.3227)  1 Pt 1.95
O (0.9635, 0.6408, 0.6773)  1 Pt 1.95
O (0.5456, 0.7171, 0.8284)  1 Pt 1.95

***

Question: raw total energy of number 2 (Tb4ZnBi)?
Answer: -4.15 eV/atom